DFT (GGA-PBE) results for a relaxed BeSi crystal.

Geometry as extended XYZ:
```
8
Lattice="-2.904 2.527 1.615 2.641 -2.024 2.521 4.195 5.043 -0.346" Properties=species:S:1:pos:R:3 pbc="T T T"
Be 1.168 -0.056 2.188
Be 1.417 3.983 1.713
Be 2.764 5.601 1.602
Be 2.515 1.563 2.077
Si 1.049 1.261 -0.087
Si 3.146 3.782 -0.260
Si 3.939 3.275 1.959
Si -0.007 2.271 1.830
```

Properties
Magnetic moment in μB per atom: 0.000



DFT (GGA-PBE) results for a relaxed BeSi crystal.

Geometry as extended XYZ:
```
8
Lattice="4.703 0.000 0.000 0.000 4.703 0.000 0.000 0.000 4.703" Properties=species:S:1:pos:R:3 pbc="T T T"
Be 0.000 0.000 0.000
Be 0.000 2.351 2.351
Be 2.351 0.000 2.351
Be 2.351 2.351 0.000
Si 2.351 2.351 2.351
Si 2.351 0.000 0.000
Si 0.000 2.351 0.000
Si 0.000 0.000 2.351
```

Properties
Magnetic moment in μB per atom: 0.000



Q: Which raw formation energy values were calculated for the entries above? A: 0.577, 0.572, in eV per atom.
Q: Which electronic total energy values were calculated for the entries above? A: -32.0, -32.0, in eV for the cell shown.
Q: Which energy above the lowest structure with this stoichiometry values were calculated for the entries above? A: 348, 343, in meV/atom.